## 1
P3C (PBE, relaxed); total moment = 0.000 μB per cell
1.0
-1.368 -2.007 1.932
2.583 -0.570 1.236
-0.442 6.411 3.881
C P
1 3
direct
0.435 0.500 0.829
0.110 0.000 0.183
0.857 0.500 0.671
0.511 0.000 0.983

## 2
P3C (PBE, relaxed); total moment = 0.000 μB per cell
1.0
-0.678 2.421 1.272
0.889 -2.194 1.528
6.662 2.225 -0.683
P C
3 1
direct
0.000 0.000 0.500
0.667 0.333 0.181
0.667 0.333 0.819
0.000 0.000 0.000

Question: which arrangement is favored energetically? Ranking from most to least stable: 1, 2.

## 1
Sc2TlMo (PBE, relaxed); total moment = 0.137 μB per cell
1.0
-0.779 -0.614 2.869
-2.209 -1.833 -0.990
5.866 -7.108 0.073
Sc Tl Mo
2 1 1
direct
0.000 0.000 0.977
0.500 0.500 0.261
0.000 0.000 0.514
0.500 0.500 0.749

## 2
Sc2TlMo (PBE, relaxed); total moment = 0.002 μB per cell
1.0
4.569 0.000 0.000
0.000 3.873 -0.073
0.000 0.086 4.568
Mo Sc Tl
1 2 1
direct
0.500 0.625 0.875
0.000 0.125 0.875
0.500 0.125 0.375
0.000 0.625 0.375

Question: which arrangement is favored energetically? Ranking from most to least stable: 2, 1.

## 1
Pr3NdGa (PBE, relaxed); total moment = 0.000 μB per cell
1.0
7.691 0.040 -0.284
-2.065 7.408 0.284
-3.346 -3.322 6.079
Pr Nd Ga
6 2 2
direct
0.775 0.564 0.718
0.225 0.436 0.282
0.846 0.057 0.282
0.154 0.943 0.718
0.716 0.440 0.156
0.284 0.560 0.844
0.711 0.060 0.772
0.289 0.940 0.228
0.376 0.250 0.626
0.624 0.750 0.374

## 2
Pr3NdGa (PBE, relaxed); total moment = 0.000 μB per cell
1.0
0.432 3.710 0.686
-0.333 1.631 -8.634
-9.649 -1.283 2.454
Pr Ga Nd
6 2 2
direct
0.232 0.732 0.718
0.412 0.808 0.087
0.612 0.933 0.482
0.418 0.416 0.089
0.599 0.493 0.457
0.218 0.291 0.694
0.020 0.681 0.298
0.811 0.543 0.877
0.825 0.072 0.903
0.006 0.153 0.272

Question: which arrangement is favored energetically? Ranking from most to least stable: 2, 1.

## 1
ZrTe2P (PBE, relaxed); total moment = 0.000 μB per cell
1.0
-1.204 3.208 1.146
-2.533 0.434 -3.877
-4.219 -2.470 2.480
P Te Zr
1 2 1
direct
0.000 0.500 0.500
0.000 0.000 0.000
0.500 0.000 0.500
0.500 0.500 0.000

## 2
ZrTe2P (PBE, relaxed); total moment = 0.000 μB per cell
1.0
-1.384 3.613 1.436
-2.768 -2.103 2.224
3.746 -0.304 4.374
Te Zr P
2 1 1
direct
0.255 0.745 0.000
0.745 0.255 0.000
0.500 0.500 0.500
0.000 0.000 0.500

Question: which arrangement is favored energetically? Ranking from most to least stable: 2, 1.

## 1
SiAsPRh2C (PBE, relaxed); total moment = 0.000 μB per cell
1.0
5.124 0.000 0.000
0.000 3.066 0.000
-1.851 0.000 5.780
Rh As P C Si
2 1 1 1 1
direct
0.876 0.000 0.401
0.814 0.500 0.789
0.487 0.500 0.217
0.015 0.500 0.175
0.440 0.500 0.875
0.235 0.000 0.751

## 2
SiAsPRh2C (PBE, relaxed); total moment = 0.000 μB per cell
1.0
7.274 0.000 0.012
0.000 3.408 0.000
-5.132 0.000 7.726
C As Si Rh P
2 2 2 4 2
direct
0.252 0.000 0.927
0.252 0.500 0.427
0.803 0.500 0.000
0.803 0.000 0.500
0.337 0.500 0.271
0.337 0.000 0.771
0.475 0.000 0.191
0.475 0.500 0.691
0.124 0.500 0.954
0.124 0.000 0.454
0.800 0.500 0.674
0.800 0.000 0.174

Question: which arrangement is favored energetically? Ranking from most to least stable: 2, 1.

## 1
Ni2MoCl (PBE, relaxed); total moment = 0.007 μB per cell
1.0
-3.628 2.211 -0.096
-1.842 -3.031 -0.182
-0.163 -0.113 3.546
Mo Cl Ni
1 1 2
direct
0.500 0.000 0.500
0.500 0.500 0.000
0.000 0.000 0.000
0.000 0.500 0.500

## 2
Ni2MoCl (PBE, relaxed); total moment = 0.000 μB per cell
1.0
-2.660 -0.316 -0.736
-0.544 -1.230 2.495
-1.588 6.568 2.920
Ni Cl Mo
2 1 1
direct
0.000 0.248 0.983
0.000 0.252 0.517
0.500 0.250 0.250
0.500 0.750 0.750

Question: which arrangement is favored energetically? Ranking from most to least stable: 2, 1.

## 1
BaZr2Cl (PBE, relaxed); total moment = 0.000 μB per cell
1.0
-0.931 6.958 -1.707
-0.441 -0.902 -3.438
-4.728 -0.451 0.740
Cl Ba Zr
1 1 2
direct
0.500 0.750 0.750
0.500 0.250 0.250
0.000 0.991 0.012
0.000 0.509 0.488

## 2
BaZr2Cl (PBE, relaxed); total moment = 0.000 μB per cell
1.0
5.571 0.000 0.000
0.000 5.571 0.000
0.000 0.000 3.395
Ba Cl Zr
1 1 2
direct
0.500 0.000 0.500
0.000 0.500 0.500
0.500 0.500 0.000
0.000 0.000 0.000

Question: which arrangement is favored energetically? Ranking from most to least stable: 1, 2.

## 1
Be2AlAs (PBE, relaxed); total moment = 0.000 μB per cell
1.0
4.553 -0.096 0.000
1.437 4.321 0.000
-2.995 -2.113 2.703
Al As Be
1 1 2
direct
0.250 0.750 0.500
0.750 0.250 0.500
0.000 0.000 0.000
0.500 0.500 0.000

## 2
Be2AlAs (PBE, relaxed); total moment = 0.000 μB per cell
1.0
-2.356 2.583 -0.708
-3.112 -2.862 -0.087
-0.526 0.467 3.456
Al As Be
1 1 2
direct
0.500 0.000 0.500
0.000 0.500 0.500
0.500 0.500 0.000
0.000 0.000 0.000

Question: which arrangement is favored energetically? Ranking from most to least stable: 2, 1.

## 1
YSc2Ta (PBE, relaxed); total moment = 0.000 μB per cell
1.0
5.452 -0.005 -0.001
4.549 3.005 -0.001
0.741 0.222 5.793
Ta Y Sc
1 1 2
direct
0.503 0.503 0.470
0.757 0.757 0.737
0.244 0.244 0.267
0.996 0.996 0.026

## 2
YSc2Ta (PBE, relaxed); total moment = 0.000 μB per cell
1.0
-1.177 3.467 -0.187
-1.995 -0.837 -2.960
-5.661 -1.690 4.293
Y Sc Ta
1 2 1
direct
0.500 0.500 0.716
0.500 0.500 0.280
0.000 0.000 0.045
0.000 0.000 0.459

Question: which arrangement is favored energetically? Ranking from most to least stable: 1, 2.